1.
VASP calculation (PBE) on crystalline Pm2DyPb4 at its relaxed geometry.

Cell: 6.2780 6.5172 10.7769 Å, 90.00 104.77 90.00°
With the nearest neighbours (Å) after each atom.
Fractional coordinates of all 14 atoms:
Pm 0.6239 0.7500 0.9829  6 Pb 3.16-3.46
Pm 0.3761 0.2500 0.0171  6 Pb 3.16-3.46
Pm 0.3136 0.2500 0.4194  7 Pb 3.23-3.58
Pm 0.6864 0.7500 0.5806  7 Pb 3.23-3.58
Dy 0.1906 0.7500 0.1966  4 Pb 3.10-3.24
Dy 0.8094 0.2500 0.8034  4 Pb 3.10-3.24
Pb 0.6570 0.5096 0.2731  5 Pb 3.13-3.51, 1 Dy 3.24, 3 Pm 3.33-3.46
Pb 0.0636 0.7500 0.8921  2 Pm 3.16-3.40, 1 Dy 3.17, 2 Pb 3.27
Pb 0.9364 0.2500 0.1079  2 Pm 3.16-3.40, 1 Dy 3.17, 2 Pb 3.27
Pb 0.6570 0.9904 0.2731  5 Pb 3.13-3.51, 1 Dy 3.24, 3 Pm 3.33-3.46
Pb 0.8804 0.2500 0.5288  1 Dy 3.10, 2 Pm 3.23-3.45, 2 Pb 3.23
Pb 0.3430 0.0096 0.7269  5 Pb 3.13-3.51, 1 Dy 3.24, 3 Pm 3.33-3.46
Pb 0.3430 0.4904 0.7269  5 Pb 3.13-3.51, 1 Dy 3.24, 3 Pm 3.33-3.46
Pb 0.1196 0.7500 0.4712  1 Dy 3.10, 2 Pm 3.23-3.45, 2 Pb 3.23

Calculated formation energy (eV/f.u.): -2.2
E_tot (eV per atom): -4.4546
Mass density (Mg/m³): 10.0


2.
VASP calculation (PBE) on crystalline Pm2DyPb at its relaxed geometry.

Cell: 3.5195 3.5195 12.3832 Å, 81.83 81.83 60.00°
With the nearest neighbours (Å) after each atom.
Fractional coordinates of all 4 atoms:
Pb 0.5000 0.5000 0.5000  6 Pm 3.41, 6 Pb 3.52
Pm 0.0920 0.0920 0.7240  1 Dy 3.37, 3 Pb 3.41, 6 Pm 3.52
Pm 0.9080 0.9080 0.2760  1 Dy 3.37, 3 Pb 3.41, 6 Pm 3.52
Dy 0.0000 0.0000 0.0000  2 Pm 3.37, 6 Dy 3.52

Calculated formation energy (eV/f.u.): 0.3
E_tot (eV per atom): -4.3844
Mass density (Mg/m³): 8.4


3.
VASP calculation (PBE) on crystalline Pm3Dy2Pb4 at its relaxed geometry.

Cell: 5.0931 6.8774 8.6616 Å, 104.55 107.10 90.00°
With the nearest neighbours (Å) after each atom.
Fractional coordinates of all 9 atoms:
Pm 0.1169 0.5809 0.2338  7 Pb 3.29-3.55
Pm 0.8831 0.4191 0.7662  7 Pb 3.29-3.55
Pm 0.0000 0.0000 0.0000  4 Pb 3.19
Dy 0.6673 0.0763 0.3345  5 Pb 3.06-3.33
Dy 0.3327 0.9237 0.6655  5 Pb 3.06-3.33
Pb 0.4930 0.7165 0.9860  1 Pb 3.05, 2 Pm 3.19, 2 Dy 3.27-3.33
Pb 0.2459 0.2905 0.4918  3 Dy 3.06-3.21, 3 Pm 3.29-3.37
Pb 0.5070 0.2835 0.0140  1 Pb 3.05, 2 Pm 3.19, 2 Dy 3.27-3.33
Pb 0.7541 0.7095 0.5082  3 Dy 3.06-3.21, 3 Pm 3.29-3.37

Calculated formation energy (eV/f.u.): -4.2
E_tot (eV per atom): -4.7216
Mass density (Mg/m³): 9.4


4.
VASP calculation (PBE) on crystalline Pm8DyPb5 at its relaxed geometry.

Cell: 8.3793 8.3793 8.3793 Å, 109.29 109.83 109.29°
With the nearest neighbours (Å) after each atom.
Fractional coordinates of all 14 atoms:
Pm 0.1322 0.7676 0.0368  5 Pb 3.22-3.51, 1 Dy 3.36, 1 Pm 3.45
Pm 0.9632 0.0954 0.7308  5 Pb 3.22-3.51, 1 Dy 3.36, 1 Pm 3.45
Pm 0.7503 0.2327 0.3568  5 Pb 3.19-3.49
Pm 0.6432 0.3934 0.8759  5 Pb 3.19-3.49
Pm 0.4824 0.6066 0.2497  5 Pb 3.19-3.49
Pm 0.6354 0.9046 0.8678  5 Pb 3.22-3.51, 1 Dy 3.36, 1 Pm 3.45
Pm 0.2692 0.2324 0.3646  5 Pb 3.22-3.51, 1 Dy 3.36, 1 Pm 3.45
Pm 0.1241 0.7673 0.5176  5 Pb 3.19-3.49
Dy 0.2500 0.5000 0.7500  8 Pm 3.36-3.60
Pb 0.0152 0.3859 0.1412  8 Pm 3.19-3.51
Pb 0.8588 0.8741 0.2447  8 Pm 3.19-3.51
Pb 0.7553 0.6141 0.6294  8 Pm 3.19-3.51
Pb 0.5000 0.0000 0.5000  8 Pm 3.19-3.36
Pb 0.3706 0.1259 0.9848  8 Pm 3.19-3.51

Calculated formation energy (eV/f.u.): -5.1
E_tot (eV per atom): -4.7314
Mass density (Mg/m³): 8.6


5.
VASP calculation (PBE) on crystalline Pm14DyPb at its relaxed geometry.

Cell: 7.2218 7.2218 10.2435 Å, 90.00 90.00 90.00°
With the nearest neighbours (Å) after each atom.
Fractional coordinates of all 16 atoms:
Pm 0.3751 0.6249 0.5000  12 Pm 3.61-3.64
Pm 0.8749 0.1251 0.5000  12 Pm 3.61-3.66
Pm 0.8748 0.6249 0.0000  8 Pm 3.58-3.59, 2 Dy 3.61, 2 Pb 3.61
Pm 0.8751 0.6249 0.5000  12 Pm 3.61-3.65
Pm 0.3751 0.1252 0.0000  8 Pm 3.58-3.59, 2 Dy 3.61, 2 Pb 3.61
Pm 0.3751 0.1249 0.5000  12 Pm 3.61-3.65
Pm 0.6239 0.8739 0.7542  1 Pb 3.58, 10 Pm 3.59-3.66, 1 Dy 3.59
Pm 0.6239 0.8739 0.2458  1 Pb 3.58, 10 Pm 3.59-3.66, 1 Dy 3.59
Pm 0.1261 0.3761 0.7542  1 Pb 3.58, 10 Pm 3.59-3.66, 1 Dy 3.59
Pm 0.1261 0.3761 0.2458  1 Pb 3.58, 10 Pm 3.59-3.66, 1 Dy 3.59
Pm 0.1260 0.8740 0.7541  1 Pb 3.58, 10 Pm 3.59-3.65, 1 Dy 3.59
Pm 0.1260 0.8740 0.2459  1 Pb 3.58, 10 Pm 3.59-3.65, 1 Dy 3.59
Pm 0.6240 0.3760 0.7543  1 Pb 3.58, 10 Pm 3.58-3.65, 1 Dy 3.59
Pm 0.6240 0.3760 0.2457  1 Pb 3.58, 10 Pm 3.58-3.65, 1 Dy 3.59
Dy 0.8751 0.1249 0.0000  12 Pm 3.59-3.61
Pb 0.3748 0.6252 0.0000  12 Pm 3.58-3.61

Calculated formation energy (eV/f.u.): -0.8
E_tot (eV per atom): -4.7250
Mass density (Mg/m³): 7.5


6.
VASP calculation (PBE) on crystalline Pm4Dy3Pb4 at its relaxed geometry.

Cell: 3.5914 9.7520 10.9888 Å, 116.34 99.40 90.00°
With the nearest neighbours (Å) after each atom.
Fractional coordinates of all 11 atoms:
Pm 0.3385 0.1614 0.6770  4 Pb 3.28-3.38, 3 Pm 3.45-3.59
Pm 0.6615 0.4844 0.3230  4 Pb 3.28-3.38, 3 Pm 3.45-3.59
Pm 0.6615 0.8386 0.3230  4 Pb 3.28-3.38, 3 Pm 3.45-3.59
Pm 0.3385 0.5156 0.6770  4 Pb 3.28-3.38, 3 Pm 3.45-3.59
Dy 0.0913 0.0913 0.1827  6 Pb 3.15-3.31
Dy 0.9087 0.9087 0.8173  6 Pb 3.15-3.31
Dy 0.0000 0.5000 0.0000  4 Pb 3.26, 2 Dy 3.59
Pb 0.2749 0.7749 0.5497  2 Dy 3.15, 6 Pm 3.32-3.38
Pb 0.7251 0.2251 0.4503  2 Dy 3.15, 6 Pm 3.32-3.38
Pb 0.5000 0.7796 0.0000  6 Dy 3.26-3.31, 2 Pm 3.28, 2 Pb 3.59
Pb 0.5000 0.2204 0.0000  6 Dy 3.26-3.31, 2 Pm 3.28, 2 Pb 3.59

Calculated formation energy (eV/f.u.): -4.3
E_tot (eV per atom): -4.7213
Mass density (Mg/m³): 9.3


7.
VASP calculation (PBE) on crystalline Pm5Dy8Pb at its relaxed geometry.

Cell: 8.4811 8.4812 8.4811 Å, 110.68 107.07 110.68°
With the nearest neighbours (Å) after each atom.
Fractional coordinates of all 14 atoms:
Pm 0.0232 0.3136 0.1365  8 Dy 3.36-3.66, 2 Pm 3.57
Pm 0.8635 0.8867 0.1771  8 Dy 3.36-3.66, 2 Pm 3.57
Pm 0.8229 0.6864 0.7096  8 Dy 3.36-3.66, 2 Pm 3.57
Pm 0.5000 0.0000 0.5000  8 Dy 3.16-3.34
Pm 0.2904 0.1133 0.9768  8 Dy 3.36-3.66, 2 Pm 3.57
Dy 0.1748 0.7327 0.0679  1 Pb 3.12, 3 Pm 3.16-3.46
Dy 0.9321 0.1069 0.6649  1 Pb 3.12, 3 Pm 3.16-3.46
Dy 0.7246 0.2530 0.3318  5 Pm 3.34-3.66, 4 Dy 3.67-3.73
Dy 0.6682 0.3928 0.9211  5 Pm 3.34-3.66, 4 Dy 3.67-3.73
Dy 0.5283 0.6072 0.2754  5 Pm 3.34-3.66, 4 Dy 3.67-3.73
Dy 0.5579 0.8931 0.8252  1 Pb 3.12, 3 Pm 3.16-3.46
Dy 0.3351 0.2673 0.4421  1 Pb 3.12, 3 Pm 3.16-3.46
Dy 0.0789 0.7470 0.4717  5 Pm 3.34-3.66, 4 Dy 3.67-3.73
Pb 0.2500 0.5000 0.7500  4 Dy 3.12

Calculated formation energy (eV/f.u.): 2.3
E_tot (eV per atom): -4.4262
Mass density (Mg/m³): 7.9


8.
VASP calculation (PBE) on crystalline PmPrDyPb at its relaxed geometry.

Cell: 5.5988 5.5988 5.5988 Å, 60.00 60.00 60.00°
With the nearest neighbours (Å) after each atom.
Fractional coordinates of all 4 atoms:
Pb 0.5000 0.5000 0.5000  4 Pm 3.43, 4 Pr 3.43
Pr 0.2500 0.2500 0.2500  4 Pb 3.43, 4 Dy 3.43
Pm 0.7500 0.7500 0.7500  4 Dy 3.43, 4 Pb 3.43
Dy 0.0000 0.0000 0.0000  4 Pr 3.43, 4 Pm 3.43

Calculated formation energy (eV/f.u.): -0.6
E_tot (eV per atom): -4.6077
Mass density (Mg/m³): 8.8


> Among the records above, which one has the highest E_tot?

Pm2DyPb


> Among the records above, which one has the highest mass density?

Pm2DyPb4